#P
Computed, not measured: crystalline Sb2PO at its relaxed geometry at the GGA-PBE level of DFT.

a = 6.5692 Å, b = 6.5692 Å, c = 6.5692 Å
α = 90.00°, β = 90.00°, γ = 90.00°
Space group Fm-3m (No. 225)
Symmetry-distinct sites (fractional):
1 Sb 0.2500 0.2500 0.2500
2 P 0.0000 0.0000 0.0000
3 O 0.0000 0.0000 0.5000

## Properties
Calculated volume (A^3/atom): 17.718
D(E_F) (states/eV/cell): 4.45

#Q
Computed, not measured: crystalline Sb2PO at its relaxed geometry at the GGA-PBE level of DFT.

a = 6.4749 Å, b = 6.4749 Å, c = 8.4730 Å
α = 90.00°, β = 90.00°, γ = 90.00°
Space group I-42d (No. 122)
Symmetry-distinct sites (fractional):
1 Sb 0.2067 0.2500 0.1250
2 P 0.0000 0.0000 0.5000
3 O 0.0000 0.0000 0.0000

## Properties
Calculated volume (A^3/atom): 22.202
D(E_F) (states/eV/cell): 5.94

The most stable arrangement is #Q, and the next structure is 20.3 kJ/mol of atoms less stable.

#P
Computed, not measured: crystalline SbP2O2 at its relaxed geometry at the GGA-PBE level of DFT.

a = 5.0927 Å, b = 5.0927 Å, c = 3.8624 Å
α = 90.00°, β = 90.00°, γ = 90.00°
Space group P4/mmm (No. 123)
Symmetry-distinct sites (fractional):
1 Sb 0.0000 0.0000 0.0000
2 P 0.0000 0.5000 0.0000
3 O 0.0000 0.0000 0.5000
4 O 0.5000 0.5000 0.5000

## Properties
Calculated volume (A^3/atom): 20.035
D(E_F) (states/eV/cell): 4.36

#Q
Computed, not measured: crystalline SbP2O2 at its relaxed geometry at the GGA-PBE level of DFT.

a = 3.7694 Å, b = 3.7694 Å, c = 4.6110 Å
α = 90.00°, β = 90.00°, γ = 90.00°
Space group P4/mmm (No. 123)
Symmetry-distinct sites (fractional):
1 Sb 0.0000 0.0000 0.0000
2 P 0.5000 0.5000 0.0000
3 P 0.5000 0.5000 0.5000
4 O 0.0000 0.5000 0.5000

## Properties
Calculated volume (A^3/atom): 13.103
D(E_F) (states/eV/cell): 0.96

#R
Computed, not measured: crystalline SbP2O2 at its relaxed geometry at the GGA-PBE level of DFT.

a = 3.8479 Å, b = 3.8479 Å, c = 5.5608 Å
α = 90.00°, β = 90.00°, γ = 90.00°
Space group P4/mmm (No. 123)
Symmetry-distinct sites (fractional):
1 Sb 0.0000 0.0000 0.0000
2 P 0.0000 0.0000 0.5000
3 P 0.5000 0.5000 0.5000
4 O 0.0000 0.5000 0.0000

## Properties
Calculated volume (A^3/atom): 16.467
D(E_F) (states/eV/cell): 1.33

The most stable arrangement is #Q, and the next structure is 28.5 kJ/mol of atoms less stable.

#P
Computed, not measured: crystalline SbP2O7 at its relaxed geometry at the GGA-PBE level of DFT.

a = 5.0614 Å, b = 8.5321 Å, c = 7.2146 Å
α = 90.00°, β = 107.77°, γ = 90.00°
Space group P2_1 (No. 4)
Symmetry-distinct sites (fractional):
1 Sb 0.2167 0.0000 0.2268
2 P 0.2229 0.7324 0.6034
3 P 0.3913 0.3140 0.0117
4 O 0.0363 0.1899 0.3381
5 O 0.1299 0.8341 0.4201
6 O 0.1752 0.4452 0.9775
7 O 0.2729 0.1470 0.0038
8 O 0.3947 0.5885 0.5836
9 O 0.4144 0.8471 0.7689
10 O 0.4280 0.8191 0.1253

## Properties
Calculated volume (A^3/atom): 14.835
D(E_F) (states/eV/cell): 3.13

#Q
Computed, not measured: crystalline SbP2O7 at its relaxed geometry at the GGA-PBE level of DFT.

a = 6.5239 Å, b = 6.6212 Å, c = 7.1796 Å
α = 67.02°, β = 87.42°, γ = 81.82°
Space group P-1 (No. 2)
Symmetry-distinct sites (fractional):
1 Sb 0.1753 0.0838 0.2714
2 P 0.1131 0.6558 0.1409
3 P 0.3650 0.7812 0.7481
4 O 0.0847 0.4158 0.2679
5 O 0.0935 0.2107 0.9681
6 O 0.1640 0.9443 0.6239
7 O 0.1945 0.7679 0.2673
8 O 0.2746 0.6483 0.9686
9 O 0.4630 0.6313 0.6542
10 O 0.4905 0.0675 0.2133

## Properties
Calculated volume (A^3/atom): 14.130
D(E_F) (states/eV/cell): 2.33

The most stable arrangement is #P, and the next structure is 8.3 kJ/mol of atoms less stable.

#P
Computed, not measured: crystalline SbP2O7 at its relaxed geometry at the GGA-PBE level of DFT.

a = 8.2474 Å, b = 16.6148 Å, c = 8.1815 Å
α = 90.00°, β = 90.45°, γ = 90.00°
Space group P2_1/c (No. 14)
Symmetry-distinct sites (fractional):
1 Sb 0.1437 0.1346 0.0156
2 Sb 0.3369 0.6226 0.9846
3 P 0.0446 0.1692 0.6085
4 P 0.2403 0.5914 0.3767
5 P 0.2823 0.0712 0.4265
6 P 0.4562 0.6878 0.6113
7 O 0.0121 0.1595 0.7891
8 O 0.0959 0.6487 0.3643
9 O 0.1161 0.6702 0.9940
10 O 0.1368 0.0880 0.5517
11 O 0.1506 0.2396 0.5574
12 O 0.2166 0.5154 0.4701
13 O 0.2584 0.5198 0.8844
14 O 0.2726 0.1237 0.2788
15 O 0.3110 0.5722 0.2019
16 O 0.3468 0.6644 0.7572
17 O 0.3681 0.1674 0.8648
18 O 0.3909 0.6433 0.4532
19 O 0.4311 0.7209 0.0827
20 O 0.4373 0.0812 0.5347

## Properties
Calculated volume (A^3/atom): 14.013
D(E_F) (states/eV/cell): 0.00

#Q
Computed, not measured: crystalline SbP2O7 at its relaxed geometry at the GGA-PBE level of DFT.

a = 7.3900 Å, b = 8.5971 Å, c = 9.8630 Å
α = 90.00°, β = 110.21°, γ = 90.00°
Space group P2_1/c (No. 14)
Symmetry-distinct sites (fractional):
1 Sb 0.2312 0.0050 0.2490
2 P 0.1789 0.7022 0.4419
3 P 0.4182 0.2395 0.5480
4 O 0.0551 0.5852 0.3312
5 O 0.1385 0.6261 0.8962
6 O 0.1701 0.6844 0.5945
7 O 0.2930 0.1437 0.0925
8 O 0.3093 0.1969 0.3889
9 O 0.3940 0.6611 0.4471
10 O 0.4822 0.0980 0.6477

## Properties
Calculated volume (A^3/atom): 14.701
D(E_F) (states/eV/cell): 4.90

The most stable arrangement is #P, and the next structure is 3.7 kJ/mol of atoms less stable.

#P
Computed, not measured: crystalline SbP3O at its relaxed geometry at the GGA-PBE level of DFT.

a = 4.3138 Å, b = 4.3138 Å, c = 4.3138 Å
α = 90.00°, β = 90.00°, γ = 90.00°
Space group Pm-3m (No. 221)
Symmetry-distinct sites (fractional):
1 Sb 0.0000 0.0000 0.0000
2 P 0.0000 0.5000 0.5000
3 O 0.5000 0.5000 0.5000

## Properties
Calculated volume (A^3/atom): 16.055
D(E_F) (states/eV/cell): 2.44

#Q
Computed, not measured: crystalline SbP3O at its relaxed geometry at the GGA-PBE level of DFT.

a = 5.0335 Å, b = 5.0335 Å, c = 5.0335 Å
α = 90.00°, β = 90.00°, γ = 90.00°
Space group Pm-3m (No. 221)
Symmetry-distinct sites (fractional):
1 Sb 0.0000 0.0000 0.0000
2 P 0.0000 0.0000 0.5000
3 O 0.5000 0.5000 0.5000

## Properties
Calculated volume (A^3/atom): 25.505
D(E_F) (states/eV/cell): 9.87

The most stable arrangement is #P, and the next structure is 127.7 kJ/mol of atoms less stable.

#P
Computed, not measured: crystalline SbP2O at its relaxed geometry at the GGA-PBE level of DFT.

a = 4.7717 Å, b = 4.7717 Å, c = 12.9920 Å
α = 90.00°, β = 90.00°, γ = 90.00°
Space group I-42d (No. 122)
Symmetry-distinct sites (fractional):
1 Sb 0.0000 0.0000 0.0000
2 P 0.0982 0.2500 0.6250
3 O 0.0000 0.0000 0.5000

## Properties
Calculated volume (A^3/atom): 18.489
D(E_F) (states/eV/cell): 11.27

#Q
Computed, not measured: crystalline SbP2O at its relaxed geometry at the GGA-PBE level of DFT.

a = 6.2755 Å, b = 6.2755 Å, c = 6.2755 Å
α = 90.00°, β = 90.00°, γ = 90.00°
Space group Fm-3m (No. 225)
Symmetry-distinct sites (fractional):
1 Sb 0.0000 0.0000 0.0000
2 P 0.2500 0.2500 0.2500
3 O 0.0000 0.0000 0.5000

## Properties
Calculated volume (A^3/atom): 15.446
D(E_F) (states/eV/cell): 8.11

The most stable arrangement is #P, and the next structure is 42.2 kJ/mol of atoms less stable.

#P
Computed, not measured: crystalline SbPO5 at its relaxed geometry at the GGA-PBE level of DFT.

a = 7.1788 Å, b = 11.9037 Å, c = 16.7141 Å
α = 90.00°, β = 90.00°, γ = 90.00°
Space group Fddd (No. 70, origin choice 2)
Symmetry-distinct sites (fractional):
1 Sb 0.0000 0.0000 0.0000
2 P 0.1250 0.1250 0.4104
3 O 0.0483 0.3642 0.0352
4 O 0.1099 0.0188 0.3557
5 O 0.1250 0.1250 0.0492

## Properties
Calculated volume (A^3/atom): 12.753
D(E_F) (states/eV/cell): 0.00

#Q
Computed, not measured: crystalline SbPO5 at its relaxed geometry at the GGA-PBE level of DFT.

a = 6.8988 Å, b = 8.1839 Å, c = 7.1430 Å
α = 90.00°, β = 116.27°, γ = 90.00°
Space group C2/c (No. 15)
Symmetry-distinct sites (fractional):
1 Sb 0.0000 0.0000 0.0000
2 P 0.0000 0.3317 0.2500
3 O 0.0000 0.0935 0.7500
4 O 0.0902 0.2238 0.1274
5 O 0.1832 0.4423 0.4024

## Properties
Calculated volume (A^3/atom): 12.916
D(E_F) (states/eV/cell): 0.00

The most stable arrangement is #Q, and the next structure is 4.3 kJ/mol of atoms less stable.

#P
Computed, not measured: crystalline ScSbP2O at its relaxed geometry at the GGA-PBE level of DFT.

a = 5.1499 Å, b = 5.1499 Å, c = 3.8655 Å
α = 90.00°, β = 90.00°, γ = 90.00°
Space group P4/mmm (No. 123)
Symmetry-distinct sites (fractional):
1 Sc 0.0000 0.0000 0.0000
2 Sb 0.5000 0.5000 0.5000
3 P 0.0000 0.5000 0.0000
4 O 0.0000 0.0000 0.5000

## Properties
Calculated volume (A^3/atom): 20.504
D(E_F) (states/eV/cell): 3.55

#Q
Computed, not measured: crystalline ScSbP2O at its relaxed geometry at the GGA-PBE level of DFT.

a = 5.0340 Å, b = 5.0340 Å, c = 3.9389 Å
α = 90.00°, β = 90.00°, γ = 90.00°
Space group P4/mmm (No. 123)
Symmetry-distinct sites (fractional):
1 Sc 0.0000 0.0000 0.0000
2 Sb 0.5000 0.5000 0.5000
3 P 0.0000 0.5000 0.5000
4 O 0.5000 0.5000 0.0000

## Properties
Calculated volume (A^3/atom): 19.963
D(E_F) (states/eV/cell): 2.30

The most stable arrangement is #P, and the next structure is 23.1 kJ/mol of atoms less stable.

#P
Computed, not measured: crystalline ScSbPO2 at its relaxed geometry at the GGA-PBE level of DFT.

a = 4.0172 Å, b = 4.0172 Å, c = 5.3569 Å
α = 90.00°, β = 90.00°, γ = 90.00°
Space group P4/mmm (No. 123)
Symmetry-distinct sites (fractional):
1 Sc 0.0000 0.0000 0.0000
2 Sb 0.5000 0.5000 0.5000
3 P 0.0000 0.0000 0.5000
4 O 0.0000 0.5000 0.0000

## Properties
Calculated volume (A^3/atom): 17.290
D(E_F) (states/eV/cell): 4.64

#Q
Computed, not measured: crystalline ScSbPO2 at its relaxed geometry at the GGA-PBE level of DFT.

a = 4.0141 Å, b = 4.0141 Å, c = 5.2194 Å
α = 90.00°, β = 90.00°, γ = 90.00°
Space group P4/mmm (No. 123)
Symmetry-distinct sites (fractional):
1 Sc 0.0000 0.0000 0.0000
2 Sb 0.5000 0.5000 0.5000
3 P 0.5000 0.5000 0.0000
4 O 0.0000 0.5000 0.5000

## Properties
Calculated volume (A^3/atom): 16.820
D(E_F) (states/eV/cell): 1.54

The most stable arrangement is #P, and the next structure is 18.2 kJ/mol of atoms less stable.